Computed, not measured: a geometry-optimized Pu2NiP structure at the PBE level of DFT.

abc: 3.4949 3.4949 4.8036
angles: 90.00 90.00 90.00
Sites, in units of the cell vectors:
Pu1 0.0000 0.5000 0.0000
Pu2 0.5000 0.0000 0.0000
Ni1 0.0000 0.0000 0.5000
P1 0.5000 0.5000 0.5000

Computed properties:
DFT formation energy ... -0.10 eV per atom
Total moment ... 0.2 μB/f.u.